# 1
{
  "formula": "Ga7Ir3",
  "functional": "PBE",
  "state": "optimized geometry",
  "lattice": [[-4.423, 4.423, 4.423], [4.423, -4.423, 4.423], [4.423, 4.423, -4.423]],
  "species": ["Ga", "Ga", "Ga", "Ga", "Ga", "Ga", "Ga", "Ga", "Ga", "Ga", "Ga", "Ga", "Ga", "Ga", "Ir", "Ir", "Ir", "Ir", "Ir", "Ir"],
  "fractional_positions": [[0.000, 0.000, 0.314], [0.000, 0.000, 0.686], [0.000, 0.314, 0.000], [0.000, 0.686, 0.000], [0.250, 0.500, 0.750], [0.250, 0.750, 0.500], [0.314, 0.000, 0.000], [0.314, 0.314, 0.314], [0.500, 0.250, 0.750], [0.500, 0.750, 0.250], [0.686, 0.000, 0.000], [0.686, 0.686, 0.686], [0.750, 0.250, 0.500], [0.750, 0.500, 0.250], [0.000, 0.342, 0.342], [0.000, 0.658, 0.658], [0.342, 0.000, 0.342], [0.342, 0.342, 0.000], [0.658, 0.000, 0.658], [0.658, 0.658, 0.000]],
  "sg": "No. 229",
  "formation_enthalpy_0k_ev_per_atom": -0.36
}

# 2
{
  "formula": "GaIr",
  "functional": "PBE",
  "state": "optimized geometry",
  "lattice": [[0.000, 5.540, 7.263], [1.484, 0.000, 7.263], [1.484, 5.540, 0.000]],
  "species": ["Ga", "Ga", "Ga", "Ga", "Ir", "Ir", "Ir", "Ir"],
  "fractional_positions": [[0.012, 0.738, 0.012], [0.262, 0.988, 0.262], [0.738, 0.012, 0.738], [0.988, 0.262, 0.988], [0.270, 0.270, 0.480], [0.480, 0.480, 0.270], [0.520, 0.520, 0.730], [0.730, 0.730, 0.520]],
  "sg": "No. 70",
  "formation_enthalpy_0k_ev_per_atom": -0.26
}

# 3
{
  "formula": "GaIr",
  "functional": "PBE",
  "state": "optimized geometry",
  "lattice": [[-4.771, 4.771, 2.138], [4.771, -4.771, 2.138], [4.771, 4.771, -2.138]],
  "species": ["Ga", "Ga", "Ga", "Ga", "Ir", "Ir", "Ir", "Ir"],
  "fractional_positions": [[0.046, 0.301, 0.346], [0.301, 0.954, 0.255], [0.699, 0.046, 0.745], [0.954, 0.699, 0.654], [0.203, 0.704, 0.908], [0.296, 0.203, 0.499], [0.704, 0.797, 0.501], [0.797, 0.296, 0.092]],
  "sg": "No. 87",
  "formation_enthalpy_0k_ev_per_atom": 0.22
}

# 4
{
  "formula": "KGaIr2",
  "functional": "PBE",
  "state": "optimized geometry",
  "lattice": [[-2.457, 2.457, 8.675], [2.457, -2.457, 8.675], [2.457, 2.457, -8.675]],
  "species": ["K", "K", "Ga", "Ga", "Ir", "Ir", "Ir", "Ir"],
  "fractional_positions": [[0.375, 0.625, 0.750], [0.625, 0.375, 0.250], [0.125, 0.875, 0.250], [0.875, 0.125, 0.750], [0.000, 0.000, 0.000], [0.000, 0.000, 0.500], [0.000, 0.500, 0.000], [0.500, 0.000, 0.500]],
  "sg": "No. 141",
  "formation_enthalpy_0k_ev_per_atom": 0.41
}

# 5
{
  "formula": "KGa4Ir",
  "functional": "PBE",
  "state": "optimized geometry",
  "lattice": [[7.959, 0.000, 0.000], [0.000, 4.167, 0.000], [0.000, 0.000, 8.088]],
  "species": ["K", "K", "Ga", "Ga", "Ga", "Ga", "Ga", "Ga", "Ga", "Ga", "Ir", "Ir"],
  "fractional_positions": [[0.250, 0.000, 0.087], [0.750, 0.000, 0.913], [0.000, 0.000, 0.500], [0.069, 0.500, 0.744], [0.250, 0.500, 0.424], [0.431, 0.500, 0.744], [0.500, 0.000, 0.500], [0.569, 0.500, 0.256], [0.750, 0.500, 0.576], [0.931, 0.500, 0.256], [0.250, 0.000, 0.666], [0.750, 0.000, 0.334]],
  "sg": "No. 51",
  "e_above_lowest_polymorph_ev_per_fu": 0.000,
  "formation_enthalpy_0k_ev_per_atom": -0.24
}

# 6
{
  "formula": "KGa2Ir",
  "functional": "PBE",
  "state": "optimized geometry",
  "lattice": [[2.131, 1.230, 6.225], [-2.131, 1.230, 6.225], [0.000, -2.461, 6.225]],
  "species": ["K", "Ga", "Ga", "Ir"],
  "fractional_positions": [[0.000, 0.000, 0.000], [0.201, 0.201, 0.201], [0.799, 0.799, 0.799], [0.500, 0.500, 0.500]],
  "sg": "No. 166",
  "formation_enthalpy_0k_ev_per_atom": -0.24
}

# 7
{
  "formula": "K2Ga4Ir",
  "functional": "PBE",
  "state": "optimized geometry",
  "lattice": [[-2.419, 2.419, 9.144], [2.419, -2.419, 9.144], [2.419, 2.419, -9.144]],
  "species": ["K", "K", "Ga", "Ga", "Ga", "Ga", "Ir"],
  "fractional_positions": [[0.171, 0.171, 0.000], [0.829, 0.829, 0.000], [0.000, 0.500, 0.500], [0.364, 0.364, 0.000], [0.500, 0.000, 0.500], [0.636, 0.636, 0.000], [0.500, 0.500, 0.000]],
  "sg": "No. 139",
  "formation_enthalpy_0k_ev_per_atom": -0.10
}

# 8
{
  "formula": "K2Ga2Ir",
  "functional": "PBE",
  "state": "optimized geometry",
  "lattice": [[6.837, 0.000, 0.000], [0.000, 6.837, 0.000], [0.000, 0.000, 6.069]],
  "species": ["K", "K", "K", "K", "Ga", "Ga", "Ga", "Ga", "Ir", "Ir"],
  "fractional_positions": [[0.173, 0.327, 0.000], [0.327, 0.827, 0.000], [0.673, 0.173, 0.000], [0.827, 0.673, 0.000], [0.219, 0.719, 0.500], [0.281, 0.219, 0.500], [0.719, 0.781, 0.500], [0.781, 0.281, 0.500], [0.000, 0.000, 0.500], [0.500, 0.500, 0.500]],
  "sg": "No. 127",
  "formation_enthalpy_0k_ev_per_atom": -0.04
}

# 9
{
  "formula": "KGa2Ir",
  "functional": "PBE",
  "state": "optimized geometry",
  "lattice": [[0.000, 3.350, 3.350], [3.350, 0.000, 3.350], [3.350, 3.350, 0.000]],
  "species": ["K", "Ga", "Ga", "Ir"],
  "fractional_positions": [[0.000, 0.000, 0.000], [0.250, 0.250, 0.250], [0.750, 0.750, 0.750], [0.500, 0.500, 0.500]],
  "sg": "No. 225",
  "formation_enthalpy_0k_ev_per_atom": 0.27
}

# 10
{
  "formula": "KGaIr3",
  "functional": "PBE",
  "state": "optimized geometry",
  "lattice": [[4.778, 0.000, 0.000], [0.000, 4.778, 0.000], [0.000, 0.000, 4.778]],
  "species": ["K", "Ga", "Ir", "Ir", "Ir"],
  "fractional_positions": [[0.000, 0.000, 0.000], [0.500, 0.500, 0.500], [0.000, 0.000, 0.500], [0.000, 0.500, 0.000], [0.500, 0.000, 0.000]],
  "sg": "No. 221",
  "formation_enthalpy_0k_ev_per_atom": 2.97
}

# 11
{
  "formula": "KGa2Ir",
  "functional": "PBE",
  "state": "optimized geometry",
  "lattice": [[-3.003, 3.003, 7.277], [3.003, -3.003, 7.277], [3.003, 3.003, -7.277]],
  "species": ["K", "K", "Ga", "Ga", "Ga", "Ga", "Ir", "Ir"],
  "fractional_positions": [[0.375, 0.625, 0.750], [0.625, 0.375, 0.250], [0.000, 0.000, 0.000], [0.000, 0.000, 0.500], [0.000, 0.500, 0.000], [0.500, 0.000, 0.500], [0.125, 0.875, 0.250], [0.875, 0.125, 0.750]],
  "sg": "No. 141",
  "formation_enthalpy_0k_ev_per_atom": -0.13
}

# 12
{
  "formula": "KGa4Ir",
  "functional": "PBE",
  "state": "optimized geometry",
  "lattice": [[4.350, -4.351, 0.000], [4.350, 4.351, 0.000], [-4.336, 0.000, 7.718]],
  "species": ["K", "K", "Ga", "Ga", "Ga", "Ga", "Ga", "Ga", "Ga", "Ga", "Ir", "Ir"],
  "fractional_positions": [[0.000, 0.500, 0.000], [0.500, 0.000, 0.000], [0.027, 0.027, 0.354], [0.173, 0.473, 0.646], [0.327, 0.327, 0.354], [0.473, 0.173, 0.646], [0.527, 0.827, 0.354], [0.673, 0.673, 0.646], [0.827, 0.527, 0.354], [0.973, 0.973, 0.646], [0.250, 0.750, 0.500], [0.750, 0.250, 0.500]],
  "sg": "No. 12",
  "e_above_lowest_polymorph_ev_per_fu": 0.478,
  "formation_enthalpy_0k_ev_per_atom": -0.16
}

# 13
{
  "formula": "K3GaIr",
  "functional": "PBE",
  "state": "optimized geometry",
  "lattice": [[6.123, 0.000, 0.000], [0.000, 6.123, 0.000], [0.000, 0.000, 6.123]],
  "species": ["K", "K", "K", "Ga", "Ir"],
  "fractional_positions": [[0.000, 0.000, 0.500], [0.000, 0.500, 0.000], [0.500, 0.000, 0.000], [0.500, 0.500, 0.500], [0.000, 0.000, 0.000]],
  "sg": "No. 221",
  "formation_enthalpy_0k_ev_per_atom": 0.86
}

# 14
{
  "formula": "K2Ga6Ir",
  "functional": "PBE",
  "state": "optimized geometry",
  "lattice": [[5.197, -3.391, 0.000], [5.197, 3.391, 0.000], [-0.259, 0.000, 5.662]],
  "species": ["K", "K", "Ga", "Ga", "Ga", "Ga", "Ga", "Ga", "Ir"],
  "fractional_positions": [[0.134, 0.134, 0.177], [0.866, 0.866, 0.823], [0.198, 0.613, 0.329], [0.306, 0.306, 0.707], [0.387, 0.802, 0.671], [0.613, 0.198, 0.329], [0.694, 0.694, 0.293], [0.802, 0.387, 0.671], [0.500, 0.500, 0.000]],
  "sg": "No. 12",
  "formation_enthalpy_0k_ev_per_atom": -0.12
}

# 15
{
  "formula": "K2Ga5Ir",
  "functional": "PBE",
  "state": "optimized geometry",
  "lattice": [[6.259, 0.000, 0.000], [0.000, 6.259, 0.000], [0.000, 0.000, 4.973]],
  "species": ["K", "K", "Ga", "Ga", "Ga", "Ga", "Ga", "Ir"],
  "fractional_positions": [[0.000, 0.500, 0.000], [0.500, 0.000, 0.000], [0.000, 0.000, 0.000], [0.289, 0.289, 0.500], [0.289, 0.711, 0.500], [0.711, 0.289, 0.500], [0.711, 0.711, 0.500], [0.000, 0.000, 0.500]],
  "sg": "No. 123",
  "formation_enthalpy_0k_ev_per_atom": -0.09
}

# 16
{
  "formula": "K2GaIr",
  "functional": "PBE",
  "state": "optimized geometry",
  "lattice": [[-2.015, 2.015, 11.498], [2.015, -2.015, 11.498], [2.015, 2.015, -11.498]],
  "species": ["K", "K", "K", "K", "Ga", "Ga", "Ir", "Ir"],
  "fractional_positions": [[0.123, 0.625, 0.998], [0.375, 0.373, 0.498], [0.627, 0.125, 0.002], [0.875, 0.877, 0.502], [0.250, 0.750, 0.500], [0.500, 0.500, 0.000], [0.000, 0.000, 0.000], [0.750, 0.250, 0.500]],
  "sg": "No. 122",
  "formation_enthalpy_0k_ev_per_atom": 0.72
}

# 17
{
  "formula": "KLa2GaIr",
  "functional": "PBE",
  "state": "optimized geometry",
  "lattice": [[5.681, 0.000, 0.000], [0.000, 5.681, 0.000], [0.000, 0.000, 5.029]],
  "species": ["K", "La", "La", "Ga", "Ir"],
  "fractional_positions": [[0.000, 0.000, 0.000], [0.000, 0.500, 0.500], [0.500, 0.000, 0.500], [0.500, 0.500, 0.000], [0.500, 0.500, 0.500]],
  "sg": "No. 123",
  "formation_enthalpy_0k_ev_per_atom": -0.26
}

# 18
{
  "formula": "KLi2GaIr",
  "functional": "PBE",
  "state": "optimized geometry",
  "lattice": [[4.973, 0.000, 0.000], [0.000, 4.973, 0.000], [0.000, 0.000, 4.822]],
  "species": ["K", "Li", "Li", "Ga", "Ir"],
  "fractional_positions": [[0.000, 0.000, 0.000], [0.000, 0.500, 0.500], [0.500, 0.000, 0.500], [0.500, 0.500, 0.000], [0.500, 0.500, 0.500]],
  "sg": "No. 123",
  "formation_enthalpy_0k_ev_per_atom": -0.07
}

# 19
{
  "formula": "KLiGa2Ir",
  "functional": "PBE",
  "state": "optimized geometry",
  "lattice": [[4.817, 0.000, 0.000], [0.000, 4.817, 0.000], [0.000, 0.000, 5.126]],
  "species": ["K", "Li", "Ga", "Ga", "Ir"],
  "fractional_positions": [[0.000, 0.000, 0.000], [0.500, 0.500, 0.000], [0.000, 0.500, 0.500], [0.500, 0.000, 0.500], [0.500, 0.500, 0.500]],
  "sg": "No. 123",
  "formation_enthalpy_0k_ev_per_atom": -0.31
}

# 20
{
  "formula": "KMg2GaIr",
  "functional": "PBE",
  "state": "optimized geometry",
  "lattice": [[5.138, 0.000, 0.000], [0.000, 5.138, 0.000], [0.000, 0.000, 4.856]],
  "species": ["K", "Mg", "Mg", "Ga", "Ir"],
  "fractional_positions": [[0.000, 0.000, 0.000], [0.000, 0.500, 0.500], [0.500, 0.000, 0.500], [0.500, 0.500, 0.000], [0.500, 0.500, 0.500]],
  "sg": "No. 123",
  "formation_enthalpy_0k_ev_per_atom": -0.26
}

# 21
{
  "formula": "KMgGa2Ir",
  "functional": "PBE",
  "state": "optimized geometry",
  "lattice": [[4.871, 0.000, 0.000], [0.000, 4.871, 0.000], [0.000, 0.000, 5.133]],
  "species": ["K", "Mg", "Ga", "Ga", "Ir"],
  "fractional_positions": [[0.000, 0.000, 0.000], [0.500, 0.500, 0.000], [0.000, 0.500, 0.500], [0.500, 0.000, 0.500], [0.500, 0.500, 0.500]],
  "sg": "No. 123",
  "formation_enthalpy_0k_ev_per_atom": -0.34
}

# 22
{
  "formula": "K2GaIrO4",
  "functional": "PBE",
  "state": "optimized geometry",
  "lattice": [[0.000, 6.157, 9.006], [2.955, 0.000, 9.006], [2.955, 6.157, 0.000]],
  "species": ["K", "K", "K", "K", "Ga", "Ga", "Ir", "Ir", "O", "O", "O", "O", "O", "O", "O", "O"],
  "fractional_positions": [[0.057, 0.057, 0.693], [0.307, 0.307, 0.943], [0.693, 0.693, 0.057], [0.943, 0.943, 0.307], [0.375, 0.375, 0.375], [0.625, 0.625, 0.625], [0.125, 0.125, 0.125], [0.875, 0.875, 0.875], [0.011, 0.666, 0.567], [0.257, 0.567, 0.666], [0.334, 0.989, 0.743], [0.433, 0.743, 0.989], [0.567, 0.257, 0.011], [0.666, 0.011, 0.257], [0.743, 0.433, 0.334], [0.989, 0.334, 0.433]],
  "sg": "No. 70",
  "e_form_raw_mev_per_atom": -1122.9
}

# 23
{
  "formula": "KGa2IrPb",
  "functional": "PBE",
  "state": "optimized geometry",
  "lattice": [[4.890, 0.000, 0.000], [0.000, 4.890, 0.000], [0.000, 0.000, 5.645]],
  "species": ["K", "Ga", "Ga", "Ir", "Pb"],
  "fractional_positions": [[0.000, 0.000, 0.000], [0.000, 0.500, 0.500], [0.500, 0.000, 0.500], [0.500, 0.500, 0.500], [0.500, 0.500, 0.000]],
  "sg": "No. 123",
  "formation_enthalpy_0k_ev_per_atom": -0.07
}

Number 1: density 10.21 g cm⁻³, total magnetization 0.00 μB/f.u.. Number 2: density 14.57 g cm⁻³, total magnetization 0.00 μB/f.u.. Number 3: density 8.94 g cm⁻³, total magnetization 0.00 μB/f.u.. Number 4: density 7.82 g cm⁻³, total magnetization 0.00 μB/f.u.. Number 5: density 6.32 g cm⁻³, total magnetization 0.00 μB/f.u.. Number 6: density 6.29 g cm⁻³, total magnetization 0.00 μB/f.u.. Number 7: density 4.26 g cm⁻³, total magnetization 0.00 μB/f.u.. Number 8: density 4.80 g cm⁻³, total magnetization 0.00 μB/f.u.. Number 9: density 8.19 g cm⁻³, total magnetization 0.00 μB/f.u.. Number 10: density 10.43 g cm⁻³, total magnetization 2.83 μB/f.u.. Number 11: density 4.69 g cm⁻³, total magnetization 0.00 μB/f.u.. Number 12: density 5.80 g cm⁻³, total magnetization 0.00 μB/f.u.. Number 13: density 2.74 g cm⁻³, total magnetization 2.09 μB/f.u.. Number 14: density 5.73 g cm⁻³, total magnetization 0.00 μB/f.u.. Number 15: density 5.28 g cm⁻³, total magnetization 0.00 μB/f.u.. Number 16: density 6.05 g cm⁻³, total magnetization 0.00 μB/f.u.. Number 17: density 5.92 g cm⁻³, total magnetization 0.00 μB/f.u.. Number 18: density 4.38 g cm⁻³, total magnetization 0.00 μB/f.u.. Number 19: density 5.27 g cm⁻³, total magnetization 0.00 μB/f.u.. Number 20: density 4.53 g cm⁻³, total magnetization 0.00 μB/f.u.. Number 21: density 5.39 g cm⁻³, total magnetization 0.00 μB/f.u.. Number 22: density 4.10 g cm⁻³, total magnetization 0.00 μB/f.u.. Number 23: density 7.11 g cm⁻³, total magnetization 0.00 μB/f.u..